This record from Alexandria via LeMat-Bulk describes a relaxed structure of Ga3FePt. The functional is PBE-GGA.

Formation energy from the elements ... 0.290 eV per atom
Space group ... Pm-3m (221)
Relative energy among the computed polymorphs ... 0 meV/atom
Total magnetization ... 0.40 μB/f.u.
DFT total energy ... -4.426 eV per atom

The structure in CIF format:
```
data_Ga3FePt
_symmetry_space_group_name_H-M 'P 1'
_symmetry_Int_Tables_number 1
_symmetry_space_group_name_Hall 'P 1'
_cell_length_a 4.471
_cell_length_b 4.471
_cell_length_c 4.471
_cell_angle_alpha 90.00
_cell_angle_beta 90.00
_cell_angle_gamma 90.00
loop_
_atom_site_label
_atom_site_type_symbol
_atom_site_fract_x
_atom_site_fract_y
_atom_site_fract_z
Ga1 Ga 0.000 0.000 0.500
Ga2 Ga 0.000 0.500 0.000
Ga3 Ga 0.500 0.000 0.000
Fe1 Fe 0.000 0.000 0.000
Pt1 Pt 0.500 0.500 0.500
```